Entry 1:
A relaxed PmDy2HoTe5 crystal. Source: Alexandria, functional PBE.

**Calculated volume**: 39.7 Å³ per atom
**Energy relative to the elements, uncorrected**: -0.6818 eV per atom
**Raw total energy**: -4.486 eV per atom

Cell: 5.5212 5.5212 11.7252 Å, 90.00 90.00 90.00°
Space group P4/mmm (No. 123)
One atom of each set of equivalent atoms:
1 Pm 0.0000 0.0000 0.0000 (multiplicity 1)
2 Dy 0.5000 0.5000 0.3530 (multiplicity 2)
3 Ho 0.0000 0.0000 0.5000 (multiplicity 1)
4 Te 0.0000 0.0000 0.2498 (multiplicity 2)
5 Te 0.0000 0.5000 0.5000 (multiplicity 2)
6 Te 0.5000 0.5000 0.0000 (multiplicity 1)


Entry 2:
A relaxed Pm2DyHo4Th crystal. Source: Alexandria, functional PBE.

**Calculated volume**: 32.0 Å³ per atom
**DFT formation energy**: 0.25 eV per formula unit
**Raw total energy**: -4.948 eV per atom

Cell: 5.0550 5.0739 9.9916 Å, 90.00 90.00 90.00°
Space group Pmmm (No. 47)
One atom of each set of equivalent atoms:
1 Pm 0.0000 0.0000 0.0000 (multiplicity 1)
2 Pm 0.5000 0.5000 0.5000 (multiplicity 1)
3 Dy 0.0000 0.0000 0.5000 (multiplicity 1)
4 Ho 0.0000 0.5000 0.2473 (multiplicity 2)
5 Ho 0.5000 0.0000 0.2470 (multiplicity 2)
6 Th 0.5000 0.5000 0.0000 (multiplicity 1)


Entry 3:
A relaxed PmDy5HoTh2 crystal. Source: Alexandria, functional PBE.

**Calculated volume**: 33.2 Å³ per atom
**DFT formation energy**: 3.04 eV per formula unit
**Raw total energy**: -4.904 eV per atom

Cell: 8.8473 8.8473 15.2810 Å, 90.00 90.00 90.00°
Space group I4/mcm (No. 140)
One atom of each set of equivalent atoms:
1 Pm 0.0000 0.0000 0.2500 (multiplicity 4)
2 Dy 0.0000 0.0000 0.0000 (multiplicity 4)
3 Dy 0.2086 0.2914 0.1380 (multiplicity 16)
4 Ho 0.0000 0.5000 0.2500 (multiplicity 4)
5 Th 0.1189 0.3811 0.5000 (multiplicity 8)


Entry 4:
A relaxed Pm6DyHo3Th2 crystal. Source: Alexandria, functional PBE.

**Calculated volume**: 33.0 Å³ per atom
**DFT formation energy**: 0.45 eV per formula unit
**Raw total energy**: -5.103 eV per atom

Cell: 6.2341 10.7840 11.9551 Å, 90.00 100.02 90.00°
Space group C2/m (No. 12)
One atom of each set of equivalent atoms:
1 Pm 0.2466 0.0000 0.2489 (multiplicity 4)
2 Pm 0.2489 0.1680 0.7516 (multiplicity 8)
3 Dy 0.0000 0.5000 0.0000 (multiplicity 2)
4 Ho 0.0000 0.0000 0.5000 (multiplicity 2)
5 Ho 0.0000 0.3333 0.5000 (multiplicity 4)
6 Th 0.0000 0.1664 0.0000 (multiplicity 4)


Entry 5:
A relaxed Pm2Dy5HoTh crystal. Source: Alexandria, functional PBE.

**Calculated volume**: 33.4 Å³ per atom
**DFT formation energy**: 1.46 eV per formula unit
**Raw total energy**: -4.784 eV per atom

Cell: 5.7141 21.5169 9.7853 Å, 90.00 90.00 90.00°
Space group Cmc2_1 (No. 36)
One atom of each set of equivalent atoms:
1 Pm 0.0000 0.1146 0.0000 (multiplicity 4)
2 Pm 0.0000 0.1300 0.6158 (multiplicity 4)
3 Dy 0.0000 0.0148 0.3108 (multiplicity 4)
4 Dy 0.0000 0.2703 0.9990 (multiplicity 4)
5 Dy 0.0000 0.3053 0.6102 (multiplicity 4)
6 Dy 0.0000 0.3967 0.2856 (multiplicity 4)
7 Dy 0.0000 0.4702 0.5847 (multiplicity 4)
8 Ho 0.0000 0.1910 0.3101 (multiplicity 4)
9 Th 0.0000 0.4044 0.9013 (multiplicity 4)


Entry 6:
A relaxed PmDyHoTh2 crystal. Source: Alexandria, functional PBE.

**Calculated volume**: 34.8 Å³ per atom
**DFT formation energy**: 2.08 eV per formula unit
**Raw total energy**: -5.337 eV per atom

Cell: 6.6673 15.6643 6.6699 Å, 90.00 90.00 90.00°
Space group Cmcm (No. 63)
One atom of each set of equivalent atoms:
1 Pm 0.0000 0.1522 0.2500 (multiplicity 4)
2 Dy 0.0000 0.2581 0.7500 (multiplicity 4)
3 Ho 0.0000 0.3483 0.2500 (multiplicity 4)
4 Th 0.2476 0.5000 0.0000 (multiplicity 8)


Entry 7:
A relaxed Pm5Dy2HoTh crystal. Source: Alexandria, functional PBE.

**Calculated volume**: 34.0 Å³ per atom
**DFT formation energy**: 1.39 eV per formula unit
**Raw total energy**: -4.840 eV per atom

Cell: 5.6411 20.4811 10.5825 Å, 90.00 90.00 90.00°
Space group Cmc2_1 (No. 36)
One atom of each set of equivalent atoms:
1 Pm 0.0000 0.0141 0.0000 (multiplicity 4)
2 Pm 0.0000 0.2764 0.2940 (multiplicity 4)
3 Pm 0.0000 0.2934 0.6858 (multiplicity 4)
4 Pm 0.0000 0.3860 0.0066 (multiplicity 4)
5 Pm 0.0000 0.4815 0.7262 (multiplicity 4)
6 Dy 0.0000 0.1126 0.7188 (multiplicity 4)
7 Dy 0.0000 0.1152 0.2929 (multiplicity 4)
8 Ho 0.0000 0.4056 0.4402 (multiplicity 4)
9 Th 0.0000 0.1990 0.9931 (multiplicity 4)


Entry 8:
A relaxed Pm2DyHoTh crystal. Source: Alexandria, functional PBE.

**Calculated volume**: 34.5 Å³ per atom
**DFT formation energy**: 1.56 eV per formula unit
**Raw total energy**: -4.908 eV per atom

Cell: 8.5075 6.3743 6.3722 Å, 90.00 94.02 90.00°
Space group P2/c (No. 13)
One atom of each set of equivalent atoms:
1 Pm 0.1894 0.2060 0.2724 (multiplicity 4)
2 Dy 0.5000 0.5000 0.0000 (multiplicity 2)
3 Ho 0.0000 0.3140 0.7500 (multiplicity 2)
4 Th 0.5000 0.0529 0.7500 (multiplicity 2)


Entry 9:
A relaxed PmDy2HoTh crystal. Source: Alexandria, functional PBE.

**Calculated volume**: 34.3 Å³ per atom
**DFT formation energy**: 1.98 eV per formula unit
**Raw total energy**: -4.794 eV per atom

Cell: 6.4373 16.6240 6.4130 Å, 90.00 90.00 90.00°
Space group Cmcm (No. 63)
One atom of each set of equivalent atoms:
1 Pm 0.0000 0.1574 0.2500 (multiplicity 4)
2 Dy 0.2462 0.5000 0.0000 (multiplicity 8)
3 Ho 0.0000 0.2685 0.7500 (multiplicity 4)
4 Th 0.0000 0.3439 0.2500 (multiplicity 4)


Entry 10:
A relaxed Pm2DyHo5Th crystal. Source: Alexandria, functional PBE.

**Calculated volume**: 33.2 Å³ per atom
**DFT formation energy**: 1.47 eV per formula unit
**Raw total energy**: -4.771 eV per atom

Cell: 5.6993 21.4663 9.7754 Å, 90.00 90.00 90.00°
Space group Cmc2_1 (No. 36)
One atom of each set of equivalent atoms:
1 Pm 0.0000 0.1143 0.0000 (multiplicity 4)
2 Pm 0.0000 0.1305 0.3842 (multiplicity 4)
3 Dy 0.0000 0.1917 0.6905 (multiplicity 4)
4 Ho 0.0000 0.0147 0.6897 (multiplicity 4)
5 Ho 0.0000 0.2700 0.0022 (multiplicity 4)
6 Ho 0.0000 0.3058 0.3906 (multiplicity 4)
7 Ho 0.0000 0.3967 0.7139 (multiplicity 4)
8 Ho 0.0000 0.4703 0.4148 (multiplicity 4)
9 Th 0.0000 0.4048 0.0988 (multiplicity 4)


Entry 11:
A relaxed PmDyHo2Th crystal. Source: Alexandria, functional PBE.

**Calculated volume**: 34.5 Å³ per atom
**DFT formation energy**: 1.61 eV per formula unit
**Raw total energy**: -4.864 eV per atom

Cell: 3.5360 5.6183 8.6771 Å, 90.00 90.06 90.00°
Space group P2/m (No. 10)
One atom of each set of equivalent atoms:
1 Pm 0.0000 0.0000 0.0000 (multiplicity 1)
2 Dy 0.5000 0.0000 0.5000 (multiplicity 1)
3 Ho 0.0012 0.5000 0.3211 (multiplicity 2)
4 Th 0.5000 0.5000 0.0000 (multiplicity 1)


Entry 12:
A relaxed PmDy2Ho5Th crystal. Source: Alexandria, functional PBE.

**Calculated volume**: 32.6 Å³ per atom
**DFT formation energy**: 1.47 eV per formula unit
**Raw total energy**: -4.755 eV per atom

Cell: 5.7101 21.2411 9.6906 Å, 90.00 90.00 90.00°
Space group Cmc2_1 (No. 36)
One atom of each set of equivalent atoms:
1 Pm 0.0000 0.0959 0.0000 (multiplicity 4)
2 Dy 0.0000 0.3665 0.2820 (multiplicity 4)
3 Dy 0.0000 0.3879 0.8987 (multiplicity 4)
4 Ho 0.0000 0.0284 0.3177 (multiplicity 4)
5 Ho 0.0000 0.1060 0.6128 (multiplicity 4)
6 Ho 0.0000 0.1939 0.2910 (multiplicity 4)
7 Ho 0.0000 0.2333 0.9112 (multiplicity 4)
8 Ho 0.0000 0.4860 0.5910 (multiplicity 4)
9 Th 0.0000 0.3092 0.5987 (multiplicity 4)


Entry 13:
A relaxed Pm6Dy3Ho2Th crystal. Source: Alexandria, functional PBE.

**Calculated volume**: 32.9 Å³ per atom
**DFT formation energy**: 0.36 eV per formula unit
**Raw total energy**: -4.877 eV per atom

Cell: 6.2365 10.7904 11.9259 Å, 90.00 100.06 90.00°
Space group C2/m (No. 12)
One atom of each set of equivalent atoms:
1 Pm 0.2464 0.0000 0.2510 (multiplicity 4)
2 Pm 0.2488 0.1651 0.7493 (multiplicity 8)
3 Dy 0.0000 0.1669 0.0000 (multiplicity 4)
4 Dy 0.0000 0.5000 0.0000 (multiplicity 2)
5 Ho 0.0000 0.3334 0.5000 (multiplicity 4)
6 Th 0.0000 0.0000 0.5000 (multiplicity 2)


Entry 14:
A relaxed Pm4Dy2HoTh crystal. Source: Alexandria, functional PBE.

**Calculated volume**: 34.3 Å³ per atom
**DFT formation energy**: 1.96 eV per formula unit
**Raw total energy**: -4.781 eV per atom

Cell: 5.6145 11.6725 16.7260 Å, 90.00 90.00 90.00°
Space group Cmcm (No. 63)
One atom of each set of equivalent atoms:
1 Pm 0.0000 0.0000 0.0000 (multiplicity 4)
2 Pm 0.0000 0.2936 0.0757 (multiplicity 8)
3 Pm 0.0000 0.4155 0.2500 (multiplicity 4)
4 Dy 0.0000 0.3944 0.6064 (multiplicity 8)
5 Ho 0.0000 0.1946 0.7500 (multiplicity 4)
6 Th 0.0000 0.1115 0.2500 (multiplicity 4)


Entry 15:
A relaxed PmDyHo3Th crystal. Source: Alexandria, functional PBE.

**Calculated volume**: 33.0 Å³ per atom
**DFT formation energy**: 1.21 eV per formula unit
**Raw total energy**: -4.882 eV per atom

Cell: 21.8669 5.4247 6.7593 Å, 90.00 98.85 90.00°
Space group C2/m (No. 12)
One atom of each set of equivalent atoms:
1 Pm 0.1314 0.0000 0.4592 (multiplicity 4)
2 Dy 0.1696 0.0000 0.0239 (multiplicity 4)
3 Ho 0.0271 0.0000 0.7756 (multiplicity 4)
4 Ho 0.1642 0.5000 0.7652 (multiplicity 4)
5 Ho 0.2235 0.5000 0.3114 (multiplicity 4)
6 Th 0.0668 0.5000 0.1739 (multiplicity 4)


Entry 16:
A relaxed Pm5DyHo2Th crystal. Source: Alexandria, functional PBE.

**Calculated volume**: 33.9 Å³ per atom
**DFT formation energy**: 1.41 eV per formula unit
**Raw total energy**: -4.836 eV per atom

Cell: 5.6440 20.4493 10.5737 Å, 90.00 90.00 90.00°
Space group Cmc2_1 (No. 36)
One atom of each set of equivalent atoms:
1 Pm 0.0000 0.0144 0.0000 (multiplicity 4)
2 Pm 0.0000 0.2766 0.7069 (multiplicity 4)
3 Pm 0.0000 0.2935 0.3151 (multiplicity 4)
4 Pm 0.0000 0.3867 0.9934 (multiplicity 4)
5 Pm 0.0000 0.4806 0.2751 (multiplicity 4)
6 Dy 0.0000 0.4063 0.5627 (multiplicity 4)
7 Ho 0.0000 0.1124 0.2819 (multiplicity 4)
8 Ho 0.0000 0.1154 0.7065 (multiplicity 4)
9 Th 0.0000 0.1990 0.0075 (multiplicity 4)


Entry 17:
A relaxed PmDy4Ho2Th crystal. Source: Alexandria, functional PBE.

**Calculated volume**: 31.9 Å³ per atom
**DFT formation energy**: 0.24 eV per formula unit
**Raw total energy**: -4.937 eV per atom

Cell: 5.0347 5.0460 10.0319 Å, 90.00 90.00 90.00°
Space group Pmmm (No. 47)
One atom of each set of equivalent atoms:
1 Pm 0.0000 0.0000 0.0000 (multiplicity 1)
2 Dy 0.0000 0.5000 0.2532 (multiplicity 2)
3 Dy 0.5000 0.0000 0.2537 (multiplicity 2)
4 Ho 0.0000 0.0000 0.5000 (multiplicity 1)
5 Ho 0.5000 0.5000 0.0000 (multiplicity 1)
6 Th 0.5000 0.5000 0.5000 (multiplicity 1)


Entry 18:
A relaxed Pm6Dy3HoTh2 crystal. Source: Alexandria, functional PBE.

**Calculated volume**: 33.1 Å³ per atom
**DFT formation energy**: 0.43 eV per formula unit
**Raw total energy**: -5.108 eV per atom

Cell: 6.2380 10.7889 11.9725 Å, 90.00 100.01 90.00°
Space group C2/m (No. 12)
One atom of each set of equivalent atoms:
1 Pm 0.2466 0.0000 0.2484 (multiplicity 4)
2 Pm 0.2493 0.1680 0.7521 (multiplicity 8)
3 Dy 0.0000 0.0000 0.5000 (multiplicity 2)
4 Dy 0.0000 0.3333 0.5000 (multiplicity 4)
5 Ho 0.0000 0.5000 0.0000 (multiplicity 2)
6 Th 0.0000 0.1664 0.0000 (multiplicity 4)


Entry 19:
A relaxed PmDy6Ho3Th2 crystal. Source: Alexandria, functional PBE.

**Calculated volume**: 31.7 Å³ per atom
**DFT formation energy**: 0.37 eV per formula unit
**Raw total energy**: -5.047 eV per atom

Cell: 6.1703 10.6758 11.7486 Å, 90.00 100.09 90.00°
Space group C2/m (No. 12)
One atom of each set of equivalent atoms:
1 Pm 0.0000 0.0000 0.0000 (multiplicity 2)
2 Dy 0.2460 0.5000 0.2494 (multiplicity 4)
3 Dy 0.2473 0.3312 0.7508 (multiplicity 8)
4 Ho 0.0000 0.1664 0.5000 (multiplicity 4)
5 Ho 0.0000 0.5000 0.5000 (multiplicity 2)
6 Th 0.0000 0.3333 0.0000 (multiplicity 4)


Entry 20:
A relaxed PmDyHo2Tl4 crystal. Source: Alexandria, functional PBE.

**Calculated volume**: 27.7 Å³ per atom
**DFT formation energy**: -2.74 eV per formula unit
**Raw total energy**: -3.839 eV per atom

Cell: 5.3861 5.3861 26.4573 Å, 90.00 90.00 120.00°
Space group R-3m (No. 166, hexagonal axes)
One atom of each set of equivalent atoms:
1 Pm 0.0000 0.0000 0.0000 (multiplicity 3)
2 Dy 0.0000 0.0000 0.5000 (multiplicity 3)
3 Ho 0.0000 0.0000 0.2496 (multiplicity 6)
4 Tl 0.0000 0.0000 0.1261 (multiplicity 6)
5 Tl 0.0000 0.0000 0.3761 (multiplicity 6)